# 1
Tm2NiPd | GGA-PBE | relaxed

N(E_F) (states/eV per cell): 4.1
SG: P4/mmm (123)
ΔH_f (0 K) (kJ per mole of atoms): -66

Unit cell a=3.3894 b=3.3894 c=6.8383 alpha=90.00 beta=90.00 gamma=90.00
Last column: nearest neighbours and their distance in Å.
Fractional coordinates of all 4 atoms:
1 Tm 0.0000 0.0000 0.2396  4 Ni 2.90, 4 Pd 2.99
2 Tm 0.0000 0.0000 0.7604  4 Ni 2.90, 4 Pd 2.99
3 Ni 0.5000 0.5000 0.0000  8 Tm 2.90
4 Pd 0.5000 0.5000 0.5000  8 Tm 2.99

---

# 2
Tm7Ni2Pd2 | GGA-PBE | relaxed

N(E_F) (states/eV per cell): 11.8
SG: Imm2 (44)
ΔH_f (0 K) (kJ per mole of atoms): -49

Unit cell a=9.0845 b=9.0845 c=9.0845 alpha=156.79 beta=66.83 gamma=118.31
Last column: nearest neighbours and their distance in Å.
Fractional coordinates of all 11 atoms:
1 Tm 0.0000 0.0000 0.0000  2 Pd 2.80
2 Tm 0.2727 0.3902 0.8826  2 Ni 2.82, 3 Pd 2.90-2.96
3 Tm 0.2890 0.5947 0.6943  3 Ni 2.74-2.92
4 Tm 0.5076 0.3902 0.1174  2 Ni 2.82, 3 Pd 2.90-2.96
5 Tm 0.6116 0.2400 0.3716  2 Pd 2.84, 2 Ni 2.86
6 Tm 0.8683 0.2400 0.6284  2 Pd 2.84, 2 Ni 2.86
7 Tm 0.9004 0.5947 0.3057  3 Ni 2.74-2.92
8 Ni 0.1297 0.8892 0.2406  7 Tm 2.74-2.92
9 Ni 0.6486 0.8892 0.7594  7 Tm 2.74-2.92
10 Pd 0.2284 0.7284 0.5000  6 Tm 2.80-2.96
11 Pd 0.6353 0.6353 0.0000  6 Tm 2.84-2.90

---

# 3
Tm4NiPd3 | GGA-PBE | relaxed

N(E_F) (states/eV per cell): 6.5
SG: Pmm2 (25)
ΔH_f (0 K) (kJ per mole of atoms): -80

Unit cell a=3.6247 b=4.5023 c=10.3076 alpha=90.00 beta=90.00 gamma=90.00
Last column: nearest neighbours and their distance in Å.
Fractional coordinates of all 8 atoms:
1 Tm 0.0000 0.0000 0.0000  2 Ni 2.85, 5 Pd 2.90-2.93
2 Tm 0.0000 0.5000 0.2675  3 Pd 2.85-2.89, 4 Ni 2.94
3 Tm 0.5000 0.0000 0.4853  1 Ni 2.81, 6 Pd 2.95-3.01
4 Tm 0.5000 0.5000 0.7700  7 Pd 2.88-2.95
5 Ni 0.5000 0.0000 0.2131  7 Tm 2.81-2.94, 2 Pd 2.81
6 Pd 0.0000 0.0000 0.7189  2 Pd 2.89, 7 Tm 2.90-3.01
7 Pd 0.0000 0.5000 0.5436  7 Tm 2.85-2.95, 2 Pd 2.89
8 Pd 0.5000 0.5000 0.0495  2 Ni 2.81, 7 Tm 2.88-2.93

---

# 4
TmZnNiPd | GGA-PBE | relaxed

N(E_F) (states/eV per cell): 8.1
SG: F-43m (216)
ΔH_f (0 K) (kJ per mole of atoms): -52

Unit cell a=6.4207 b=6.4207 c=6.4207 alpha=90.00 beta=90.00 gamma=90.00
Last column: nearest neighbours and their distance in Å.
Fractional coordinates of all 16 atoms:
1 Tm 0.0000 0.0000 0.0000  4 Ni 2.78, 4 Pd 2.78
2 Tm 0.0000 0.5000 0.5000  4 Ni 2.78, 4 Pd 2.78
3 Tm 0.5000 0.0000 0.5000  4 Ni 2.78, 4 Pd 2.78
4 Tm 0.5000 0.5000 0.0000  4 Ni 2.78, 4 Pd 2.78
5 Zn 0.0000 0.0000 0.5000  4 Ni 2.78, 4 Pd 2.78
6 Zn 0.0000 0.5000 0.0000  4 Ni 2.78, 4 Pd 2.78
7 Zn 0.5000 0.0000 0.0000  4 Ni 2.78, 4 Pd 2.78
8 Zn 0.5000 0.5000 0.5000  4 Ni 2.78, 4 Pd 2.78
9 Ni 0.2500 0.2500 0.7500  4 Tm 2.78, 4 Zn 2.78
10 Ni 0.2500 0.7500 0.2500  4 Tm 2.78, 4 Zn 2.78
11 Ni 0.7500 0.2500 0.2500  4 Tm 2.78, 4 Zn 2.78
12 Ni 0.7500 0.7500 0.7500  4 Tm 2.78, 4 Zn 2.78
13 Pd 0.2500 0.2500 0.2500  4 Tm 2.78, 4 Zn 2.78
14 Pd 0.2500 0.7500 0.7500  4 Tm 2.78, 4 Zn 2.78
15 Pd 0.7500 0.2500 0.7500  4 Tm 2.78, 4 Zn 2.78
16 Pd 0.7500 0.7500 0.2500  4 Tm 2.78, 4 Zn 2.78

---

# 5
UNiPd5 | GGA-PBE | relaxed

N(E_F) (states/eV per cell): 14.8
SG: C2/c (15)
ΔH_f (0 K) (kJ per mole of atoms): -14

Unit cell a=5.6604 b=5.6604 c=8.8966 alpha=108.28 beta=108.28 gamma=66.53
Last column: nearest neighbours and their distance in Å.
Fractional coordinates of all 14 atoms:
1 U 0.0866 0.9134 0.7500  5 Pd 2.58-2.62
2 U 0.9134 0.0866 0.2500  5 Pd 2.58-2.62
3 Ni 0.0000 0.5000 0.0000  8 Pd 2.61-2.80
4 Ni 0.5000 0.0000 0.5000  8 Pd 2.61-2.80
5 Pd 0.1791 0.3134 0.7218  1 U 2.62, 5 Pd 2.70-2.93, 2 Ni 2.71-2.80
6 Pd 0.2530 0.5382 0.5129  1 U 2.59, 6 Pd 2.70-2.87, 1 Ni 2.78
7 Pd 0.3134 0.1791 0.2218  1 U 2.62, 5 Pd 2.70-2.93, 2 Ni 2.71-2.80
8 Pd 0.3288 0.6712 0.2500  1 U 2.58, 2 Ni 2.61, 6 Pd 2.75-2.87
9 Pd 0.4618 0.7470 0.9871  1 U 2.59, 6 Pd 2.70-2.87, 1 Ni 2.78
10 Pd 0.5382 0.2530 0.0129  1 U 2.59, 6 Pd 2.70-2.87, 1 Ni 2.78
11 Pd 0.6712 0.3288 0.7500  1 U 2.58, 2 Ni 2.61, 6 Pd 2.75-2.87
12 Pd 0.6866 0.8209 0.7782  1 U 2.62, 5 Pd 2.70-2.93, 2 Ni 2.71-2.80
13 Pd 0.7470 0.4618 0.4871  1 U 2.59, 6 Pd 2.70-2.87, 1 Ni 2.78
14 Pd 0.8209 0.6866 0.2782  1 U 2.62, 5 Pd 2.70-2.93, 2 Ni 2.71-2.80

---

# 6
U2Ni15Pd2 | GGA-PBE | relaxed

N(E_F) (states/eV per cell): 25.5
SG: R-3m (166)
ΔH_f (0 K) (kJ per mole of atoms): -1

Unit cell a=6.3218 b=6.3218 c=6.3218 alpha=83.45 beta=83.45 gamma=83.45
Last column: nearest neighbours and their distance in Å.
Fractional coordinates of all 19 atoms:
1 U 0.1336 0.1336 0.1336  6 Ni 2.46-2.55
2 U 0.8664 0.8664 0.8664  6 Ni 2.46-2.55
3 Ni 0.0000 0.0000 0.5000  8 Ni 2.42-2.47, 2 U 2.46
4 Ni 0.0000 0.3165 0.6835  8 Ni 2.42-2.66
5 Ni 0.0000 0.5000 0.0000  8 Ni 2.42-2.47, 2 U 2.46
6 Ni 0.0000 0.6835 0.3165  8 Ni 2.42-2.66
7 Ni 0.1704 0.6554 0.6554  8 Ni 2.36-2.49, 1 U 2.55
8 Ni 0.3165 0.0000 0.6835  8 Ni 2.42-2.66
9 Ni 0.3165 0.6835 0.0000  8 Ni 2.42-2.66
10 Ni 0.3446 0.3446 0.8296  8 Ni 2.36-2.49, 1 U 2.55
11 Ni 0.3446 0.8296 0.3446  8 Ni 2.36-2.49, 1 U 2.55
12 Ni 0.5000 0.0000 0.0000  8 Ni 2.42-2.47, 2 U 2.46
13 Ni 0.6554 0.1704 0.6554  8 Ni 2.36-2.49, 1 U 2.55
14 Ni 0.6554 0.6554 0.1704  8 Ni 2.36-2.49, 1 U 2.55
15 Ni 0.6835 0.0000 0.3165  8 Ni 2.42-2.66
16 Ni 0.6835 0.3165 0.0000  8 Ni 2.42-2.66
17 Ni 0.8296 0.3446 0.3446  8 Ni 2.36-2.49, 1 U 2.55
18 Pd 0.3644 0.3644 0.3644  1 U 2.80, 12 Ni 2.83-2.92
19 Pd 0.6356 0.6356 0.6356  1 U 2.80, 12 Ni 2.83-2.92

---

# 7
UNiPd6 | GGA-PBE | relaxed

N(E_F) (states/eV per cell): 9.9
SG: C2/m (12)
ΔH_f (0 K) (kJ per mole of atoms): -9

Unit cell a=5.7354 b=9.9250 c=5.5572 alpha=90.00 beta=119.98 gamma=90.00
Last column: nearest neighbours and their distance in Å.
Fractional coordinates of all 16 atoms:
1 U 0.0000 0.0000 0.0000  6 Pd 2.51-2.64, 2 Ni 2.78
2 U 0.5000 0.5000 0.0000  6 Pd 2.51-2.64, 2 Ni 2.78
3 Ni 0.0000 0.0000 0.5000  6 Pd 2.46-2.62
4 Ni 0.5000 0.5000 0.5000  6 Pd 2.46-2.62
5 Pd 0.0036 0.2249 0.7472  1 Ni 2.62, 1 U 2.64, 7 Pd 2.73-2.91
6 Pd 0.0036 0.7751 0.7472  1 Ni 2.62, 1 U 2.64, 7 Pd 2.73-2.91
7 Pd 0.0053 0.5000 0.2481  1 Ni 2.46, 1 U 2.51, 3 Pd 2.73
8 Pd 0.4947 0.0000 0.7519  1 Ni 2.46, 1 U 2.51, 3 Pd 2.73
9 Pd 0.4964 0.2751 0.2528  1 Ni 2.62, 1 U 2.64, 7 Pd 2.73-2.91
10 Pd 0.4964 0.7249 0.2528  1 Ni 2.62, 1 U 2.64, 7 Pd 2.73-2.91
11 Pd 0.5036 0.2751 0.7472  1 Ni 2.62, 1 U 2.64, 7 Pd 2.73-2.91
12 Pd 0.5036 0.7249 0.7472  1 Ni 2.62, 1 U 2.64, 7 Pd 2.73-2.91
13 Pd 0.5053 0.0000 0.2481  1 Ni 2.46, 1 U 2.51, 3 Pd 2.73
14 Pd 0.9947 0.5000 0.7519  1 Ni 2.46, 1 U 2.51, 3 Pd 2.73
15 Pd 0.9964 0.2249 0.2528  1 Ni 2.62, 1 U 2.64, 7 Pd 2.73-2.91
16 Pd 0.9964 0.7751 0.2528  1 Ni 2.62, 1 U 2.64, 7 Pd 2.73-2.91

---

# 8
UNiPd2 | GGA-PBE | relaxed

N(E_F) (states/eV per cell): 7.7
SG: P4/mmm (123)
ΔH_f (0 K) (kJ per mole of atoms): -31

Unit cell a=4.0175 b=4.0175 c=4.1811 alpha=90.00 beta=90.00 gamma=90.00
Last column: nearest neighbours and their distance in Å.
Fractional coordinates of all 4 atoms:
1 U 0.0000 0.0000 0.0000  4 Ni 2.84, 8 Pd 2.90
2 Ni 0.5000 0.5000 0.0000  4 U 2.84, 8 Pd 2.90
3 Pd 0.0000 0.5000 0.5000  4 Pd 2.84, 4 Ni 2.90, 4 U 2.90
4 Pd 0.5000 0.0000 0.5000  4 Pd 2.84, 4 Ni 2.90, 4 U 2.90

---

# 9
UNiPd6 | GGA-PBE | relaxed

N(E_F) (states/eV per cell): 8.7
SG: P4/mmm (123)
ΔH_f (0 K) (kJ per mole of atoms): -31

Unit cell a=5.6512 b=5.6512 c=4.0011 alpha=90.00 beta=90.00 gamma=90.00
Last column: nearest neighbours and their distance in Å.
Fractional coordinates of all 8 atoms:
1 U 0.0000 0.0000 0.0000  12 Pd 2.83-2.85
2 Ni 0.5000 0.5000 0.0000  12 Pd 2.80-2.83
3 Pd 0.0000 0.5000 0.0000  2 Ni 2.83, 2 U 2.83, 8 Pd 2.83
4 Pd 0.2541 0.2541 0.5000  8 Pd 2.78-2.87, 2 Ni 2.80, 2 U 2.85
5 Pd 0.2541 0.7459 0.5000  8 Pd 2.78-2.87, 2 Ni 2.80, 2 U 2.85
6 Pd 0.5000 0.0000 0.0000  2 Ni 2.83, 2 U 2.83, 8 Pd 2.83
7 Pd 0.7459 0.2541 0.5000  8 Pd 2.78-2.87, 2 Ni 2.80, 2 U 2.85
8 Pd 0.7459 0.7459 0.5000  8 Pd 2.78-2.87, 2 Ni 2.80, 2 U 2.85

---

Density (computed, g/cm3): 10.63, 9.73, 10.40, 10.02, 11.36, 10.51, 11.34, 12.54, 12.15
Spin magnetization (computed, μB per formula unit): 0.00, 0.00, 0.00, 0.00, 1.00, 1.17, 0.01, 2.10, 0.43